1.
## CsKBeIn2 (GGA-PBE)

Data for crystalline CsKBeIn2 at its relaxed geometry.

Computed properties:
**Energy of formation**: 1.35 eV/atom
**Space group**: P4/mmm

Lattice parameters (Å, degrees): 6.7408 7.2246 6.7408 90.00 90.00 90.00
Sites, in units of the cell vectors:
Cs 0.0000 0.0000 0.0000
Be 0.5000 0.5000 0.5000
K 0.0000 0.5000 0.0000
In 0.0000 0.0000 0.5000
In 0.5000 0.0000 0.0000



2.
## Cs2Ba2Tl15 (GGA-PBE)

Data for crystalline Cs2Ba2Tl15 at its relaxed geometry.

Computed properties:
**Energy of formation**: -0.10 eV/atom
**Space group**: R-3m

Lattice parameters (Å, degrees): 8.8718 8.8718 8.8718 83.31 83.31 83.31
Sites, in units of the cell vectors:
Cs 0.3513 0.3513 0.3513
Cs 0.6487 0.6487 0.6487
Ba 0.1087 0.1087 0.1087
Ba 0.8913 0.8913 0.8913
Tl 0.5000 0.0000 0.0000
Tl 0.0000 0.0000 0.5000
Tl 0.0000 0.5000 0.0000
Tl 0.0000 0.7081 0.2919
Tl 0.7081 0.2919 0.0000
Tl 0.2919 0.0000 0.7081
Tl 0.2919 0.7081 0.0000
Tl 0.7081 0.0000 0.2919
Tl 0.0000 0.2919 0.7081
Tl 0.1523 0.6415 0.6415
Tl 0.6415 0.6415 0.1523
Tl 0.6415 0.1523 0.6415
Tl 0.8477 0.3585 0.3585
Tl 0.3585 0.3585 0.8477
Tl 0.3585 0.8477 0.3585



3.
## TbPr3Cl (GGA-PBE)

Data for crystalline TbPr3Cl at its relaxed geometry.

Computed properties:
**Uncorrected formation energy**: -0.50 eV/atom
**Space group**: Pm-3m

Lattice parameters (Å, degrees): 5.5151 5.5151 5.5151 90.00 90.00 90.00
Sites, in units of the cell vectors:
Pr 0.0000 0.5000 0.0000
Pr 0.0000 0.0000 0.5000
Pr 0.5000 0.0000 0.0000
Tb 0.5000 0.5000 0.5000
Cl 0.0000 0.0000 0.0000



4.
## BeHgIr (GGA-PBE)

Data for crystalline BeHgIr at its relaxed geometry.

Computed properties:
**Excess energy over the best structure of this formula in the dataset**: 207 meV/atom
**Energy of formation**: 0.19 eV/atom
**Space group**: F-43m

Lattice parameters (Å, degrees): 4.0180 4.0180 4.0180 60.00 60.00 60.00
Sites, in units of the cell vectors:
Be 0.7500 0.7500 0.7500
Ir 0.5000 0.5000 0.5000
Hg 0.0000 0.0000 0.0000



5.
## Nb3AuN (GGA-PBE)

Data for crystalline Nb3AuN at its relaxed geometry.

Computed properties:
**Uncorrected formation energy**: -0.53 eV/atom
**Space group**: Imma

Lattice parameters (Å, degrees): 6.0427 8.5312 6.0664 90.00 90.00 90.00
Sites, in units of the cell vectors:
Nb 0.2500 0.9892 0.7500
Nb 0.2500 0.4892 0.2500
Nb 0.2500 0.0108 0.2500
Nb 0.7500 0.4892 0.2500
Nb 0.7500 0.0108 0.2500
Nb 0.7500 0.5108 0.7500
Nb 0.7500 0.9892 0.7500
Nb 0.2500 0.5108 0.7500
Nb 0.4999 0.2500 0.9787
Nb 0.0001 0.7500 0.4787
Nb 0.5001 0.7500 0.0213
Nb 0.9999 0.2500 0.5213
Au 0.4999 0.2500 0.5006
Au 0.0001 0.7500 0.0006
Au 0.5001 0.7500 0.4994
Au 0.9999 0.2500 0.9994
N 0.0000 0.0000 0.5000
N 0.5000 0.5000 0.0000
N 0.5000 0.0000 0.0000
N 0.0000 0.5000 0.5000



6.
## TbDyIn (GGA-PBE)

Data for crystalline TbDyIn at its relaxed geometry.

Computed properties:
**Excess energy over the best structure of this formula in the dataset**: 81 meV/atom
**Energy of formation**: -0.23 eV/atom
**Space group**: P3m1

Lattice parameters (Å, degrees): 3.6292 5.2345 5.2345 120.00 90.00 90.00
Sites, in units of the cell vectors:
In 0.6750 0.6667 0.3333
Tb 0.3837 0.3333 0.6667
Dy 0.9413 0.0000 0.0000



7.
## Ni8MoPd2 (GGA-PBE)

Data for crystalline Ni8MoPd2 at its relaxed geometry.

Computed properties:
**Energy of formation**: 0.19 eV/atom
**Space group**: C2/m

Lattice parameters (Å, degrees): 4.3814 5.0363 7.0704 110.89 108.08 89.91
Site moments in Bohr magnetons follow the coordinates.
Sites, in units of the cell vectors:
Ni 0.1294 0.3561 0.2529  0.44
Ni 0.8764 0.1031 0.7471  0.44
Ni 0.7460 0.4959 0.0000  0.40
Ni 0.6941 0.1941 0.3883  0.24
Ni 0.3059 0.8059 0.6117  0.24
Ni 0.2540 0.5041 0.0000  0.40
Ni 0.1236 0.8969 0.2529  0.44
Ni 0.8706 0.6439 0.7471  0.44
Mo 0.5000 0.0000 0.0000  -0.01
Pd 0.6864 0.6864 0.3728  0.11
Pd 0.3136 0.3136 0.6272  0.11



8.
## TbPr6Y12 (GGA-PBE)

Data for crystalline TbPr6Y12 at its relaxed geometry.

Computed properties:
**Excess energy over the best structure of this formula in the dataset**: 0 meV/atom
**Energy of formation**: 0.12 eV/atom
**Space group**: R-3m

Lattice parameters (Å, degrees): 8.7693 8.7693 8.7693 79.67 79.67 79.67
Sites, in units of the cell vectors:
Tb 0.0000 0.0000 0.0000
Pr 0.7691 0.7693 0.1642
Pr 0.8358 0.2309 0.2307
Pr 0.2307 0.8358 0.2309
Pr 0.2309 0.2307 0.8358
Pr 0.1642 0.7691 0.7693
Pr 0.7693 0.1642 0.7691
Y 0.8039 0.4851 0.4850
Y 0.4850 0.8039 0.4851
Y 0.4851 0.4850 0.8039
Y 0.1961 0.5149 0.5150
Y 0.5150 0.1961 0.5149
Y 0.5149 0.5150 0.1961
Y 0.1372 0.1372 0.4838
Y 0.8628 0.5162 0.8628
Y 0.5162 0.8628 0.8628
Y 0.8628 0.8628 0.5162
Y 0.1372 0.4838 0.1372
Y 0.4838 0.1372 0.1372